This record from Alexandria via LeMat-Bulk describes a relaxed Pa2RuS2N2 crystal. The functional is GGA-PBE.

Unit cell a=3.8648 b=3.8648 c=10.7562 alpha=90.00 beta=90.00 gamma=120.00
Space group P-3m1 (No. 164)
Symmetry-distinct sites (fractional):
Pa 0.3333 0.6667 0.1369 (multiplicity 2)
Ru 0.0000 0.0000 0.5000 (multiplicity 1)
S 0.0000 0.0000 0.2884 (multiplicity 2)
N 0.3333 0.6667 0.9230 (multiplicity 2)

Results
DOS at the Fermi energy in states/eV/cell: 9.04
Calculated volume in Å³/atom: 19.88
Uncorrected energy in eV/atom: -8.67
Calculated density in Mg/m³: 7.82
Formation energy from raw total energies in kcal/mol of atoms: -24.79

This record from Alexandria via LeMat-Bulk describes a relaxed La3GaBi crystal. The functional is GGA-PBE.

Unit cell a=5.8131 b=5.8131 c=5.8131 alpha=90.00 beta=90.00 gamma=90.00
Space group Pm-3m (No. 221)
Symmetry-distinct sites (fractional):
La 0.0000 0.0000 0.5000 (multiplicity 3)
Ga 0.0000 0.0000 0.0000 (multiplicity 1)
Bi 0.5000 0.5000 0.5000 (multiplicity 1)

Results
Excess energy over the best structure of this formula in the dataset in kJ/mol of formula units: 82.8
DOS at the Fermi energy in states/eV/cell: 4.63
DFT formation energy in eV/atom: -0.320
Calculated volume in Å³/atom: 39.29
Uncorrected energy in eV/atom: -4.66
Calculated density in Mg/m³: 5.88

This record from Alexandria via LeMat-Bulk describes a relaxed HfNbCr crystal. The functional is GGA-PBE.

Unit cell a=3.2515 b=4.9040 c=13.0946 alpha=90.00 beta=90.00 gamma=90.00
Space group Fmm2 (No. 42)
Symmetry-distinct sites (fractional):
Hf 0.0000 0.0000 0.0000 (multiplicity 4)
Nb 0.0000 0.0000 0.3048 (multiplicity 4)
Cr 0.0000 0.0000 0.6618 (multiplicity 4)

Results
Excess energy over the best structure of this formula in the dataset in kJ/mol of formula units: 55.3
DOS at the Fermi energy in states/eV/cell: 15.34
DFT formation energy in eV/atom: 0.198
Calculated volume in Å³/atom: 17.40
Uncorrected energy in eV/atom: -9.68
Calculated density in Mg/m³: 10.29